Entry i
BaSnP3 after structural relaxation. Source: Alexandria via LeMat-Bulk, functional PBE.

Computed properties:
N(E_F) = 1.1283 states/eV/atom

Cell and atoms, written as CIF:
```
data_BaSnP3
_cell_length_a 5.155
_cell_length_b 5.155
_cell_length_c 5.155
_cell_angle_alpha 90.00
_cell_angle_beta 90.00
_cell_angle_gamma 90.00
_symmetry_space_group_name_H-M 'P 1'
_symmetry_Int_Tables_number 1
loop_
_symmetry_equiv_pos_as_xyz
'x,y,z'
loop_
_atom_site_label
_atom_site_type_symbol
_atom_site_fract_x
_atom_site_fract_y
_atom_site_fract_z
Ba1 Ba 0.000 0.000 0.000
Sn1 Sn 0.500 0.500 0.500
P1 P 0.000 0.500 0.500
P2 P 0.500 0.000 0.500
P3 P 0.500 0.500 0.000
```

***

Entry ii
BaSnP3 after structural relaxation. Source: Alexandria via LeMat-Bulk, functional PBE.

Computed properties:
N(E_F) = 1.1580 states/eV/atom

Cell and atoms, written as CIF:
```
data_BaSnP3
_cell_length_a 5.568
_cell_length_b 5.568
_cell_length_c 5.568
_cell_angle_alpha 90.00
_cell_angle_beta 90.00
_cell_angle_gamma 90.00
_symmetry_space_group_name_H-M 'P 1'
_symmetry_Int_Tables_number 1
loop_
_symmetry_equiv_pos_as_xyz
'x,y,z'
loop_
_atom_site_label
_atom_site_type_symbol
_atom_site_fract_x
_atom_site_fract_y
_atom_site_fract_z
Ba1 Ba 0.000 0.000 0.000
Sn1 Sn 0.500 0.500 0.500
P1 P 0.000 0.000 0.500
P2 P 0.000 0.500 0.000
P3 P 0.500 0.000 0.000
```

***

Tell me which of them is the least stable. Sure, it is entry ii.

***

Entry i
Ba3SrP after structural relaxation. Source: Alexandria via LeMat-Bulk, functional PBE.

Computed properties:
N(E_F) = 1.1728 states/eV/atom

Cell and atoms, written as CIF:
```
data_Ba3SrP
_cell_length_a 8.620
_cell_length_b 8.620
_cell_length_c 14.809
_cell_angle_alpha 90.00
_cell_angle_beta 90.00
_cell_angle_gamma 90.00
_symmetry_space_group_name_H-M 'P 1'
_symmetry_Int_Tables_number 1
loop_
_symmetry_equiv_pos_as_xyz
'x,y,z'
loop_
_atom_site_label
_atom_site_type_symbol
_atom_site_fract_x
_atom_site_fract_y
_atom_site_fract_z
Ba1 Ba 0.024 0.319 0.000
Ba2 Ba 0.072 0.192 0.468
Ba3 Ba 0.192 0.928 0.218
Ba4 Ba 0.319 0.976 0.750
Ba5 Ba 0.326 0.429 0.255
Ba6 Ba 0.429 0.674 0.005
Ba7 Ba 0.571 0.326 0.505
Ba8 Ba 0.674 0.571 0.755
Ba9 Ba 0.681 0.024 0.250
Ba10 Ba 0.808 0.072 0.718
Ba11 Ba 0.928 0.808 0.968
Ba12 Ba 0.976 0.681 0.500
Sr1 Sr 0.165 0.475 0.727
Sr2 Sr 0.475 0.835 0.477
Sr3 Sr 0.525 0.165 0.977
Sr4 Sr 0.835 0.525 0.227
P1 P 0.113 0.608 0.115
P2 P 0.392 0.113 0.365
P3 P 0.608 0.887 0.865
P4 P 0.887 0.392 0.615
```

***

Entry ii
Ba3SrP after structural relaxation. Source: Alexandria via LeMat-Bulk, functional PBE.

Computed properties:
N(E_F) = 1.7528 states/eV/atom

Cell and atoms, written as CIF:
```
data_Ba3SrP
_cell_length_a 6.440
_cell_length_b 6.440
_cell_length_c 6.440
_cell_angle_alpha 90.00
_cell_angle_beta 90.00
_cell_angle_gamma 90.00
_symmetry_space_group_name_H-M 'P 1'
_symmetry_Int_Tables_number 1
loop_
_symmetry_equiv_pos_as_xyz
'x,y,z'
loop_
_atom_site_label
_atom_site_type_symbol
_atom_site_fract_x
_atom_site_fract_y
_atom_site_fract_z
Ba1 Ba 0.000 0.000 0.500
Ba2 Ba 0.000 0.500 0.000
Ba3 Ba 0.500 0.000 0.000
Sr1 Sr 0.000 0.000 0.000
P1 P 0.500 0.500 0.500
```

***

Tell me which of them is the least stable. Sure, it is entry ii.

***

Entry i
BaSrP3 after structural relaxation. Source: Alexandria via LeMat-Bulk, functional PBE.

Computed properties:
N(E_F) = 0.7700 states/eV/atom

Cell and atoms, written as CIF:
```
data_BaSrP3
_cell_length_a 5.464
_cell_length_b 5.464
_cell_length_c 5.464
_cell_angle_alpha 90.00
_cell_angle_beta 90.00
_cell_angle_gamma 90.00
_symmetry_space_group_name_H-M 'P 1'
_symmetry_Int_Tables_number 1
loop_
_symmetry_equiv_pos_as_xyz
'x,y,z'
loop_
_atom_site_label
_atom_site_type_symbol
_atom_site_fract_x
_atom_site_fract_y
_atom_site_fract_z
Ba1 Ba 0.000 0.000 0.000
Sr1 Sr 0.500 0.500 0.500
P1 P 0.000 0.500 0.500
P2 P 0.500 0.000 0.500
P3 P 0.500 0.500 0.000
```

***

Entry ii
BaSrP3 after structural relaxation. Source: Alexandria via LeMat-Bulk, functional PBE.

Computed properties:
N(E_F) = 1.2995 states/eV/atom

Cell and atoms, written as CIF:
```
data_BaSrP3
_cell_length_a 5.586
_cell_length_b 5.586
_cell_length_c 5.586
_cell_angle_alpha 90.00
_cell_angle_beta 90.00
_cell_angle_gamma 90.00
_symmetry_space_group_name_H-M 'P 1'
_symmetry_Int_Tables_number 1
loop_
_symmetry_equiv_pos_as_xyz
'x,y,z'
loop_
_atom_site_label
_atom_site_type_symbol
_atom_site_fract_x
_atom_site_fract_y
_atom_site_fract_z
Ba1 Ba 0.000 0.000 0.000
Sr1 Sr 0.500 0.500 0.500
P1 P 0.000 0.000 0.500
P2 P 0.000 0.500 0.000
P3 P 0.500 0.000 0.000
```

***

Tell me which of them is the least stable. Sure, it is entry ii.

***

Entry i
BaZrTa2P after structural relaxation. Source: Alexandria via LeMat-Bulk, functional PBE.

Computed properties:
N(E_F) = 1.7048 states/eV/atom

Cell and atoms, written as CIF:
```
data_BaZrTa2P
_cell_length_a 4.804
_cell_length_b 4.804
_cell_length_c 5.184
_cell_angle_alpha 90.00
_cell_angle_beta 90.00
_cell_angle_gamma 90.00
_symmetry_space_group_name_H-M 'P 1'
_symmetry_Int_Tables_number 1
loop_
_symmetry_equiv_pos_as_xyz
'x,y,z'
loop_
_atom_site_label
_atom_site_type_symbol
_atom_site_fract_x
_atom_site_fract_y
_atom_site_fract_z
Ba1 Ba 0.000 0.000 0.000
Zr1 Zr 0.500 0.500 0.000
Ta1 Ta 0.000 0.500 0.500
Ta2 Ta 0.500 0.000 0.500
P1 P 0.500 0.500 0.500
```

***

Entry ii
BaZrTa2P after structural relaxation. Source: Alexandria via LeMat-Bulk, functional PBE.

Computed properties:
N(E_F) = 0.8818 states/eV/atom

Cell and atoms, written as CIF:
```
data_BaZrTa2P
_cell_length_a 5.068
_cell_length_b 5.068
_cell_length_c 5.247
_cell_angle_alpha 90.00
_cell_angle_beta 90.00
_cell_angle_gamma 90.00
_symmetry_space_group_name_H-M 'P 1'
_symmetry_Int_Tables_number 1
loop_
_symmetry_equiv_pos_as_xyz
'x,y,z'
loop_
_atom_site_label
_atom_site_type_symbol
_atom_site_fract_x
_atom_site_fract_y
_atom_site_fract_z
Ba1 Ba 0.000 0.000 0.000
Zr1 Zr 0.000 0.000 0.500
Ta1 Ta 0.000 0.500 0.000
Ta2 Ta 0.500 0.000 0.000
P1 P 0.500 0.500 0.500
```

***

Tell me which of them is the least stable. Sure, it is entry ii.

***

Entry i
BaTcP after structural relaxation. Source: Alexandria via LeMat-Bulk, functional PBE.

Computed properties:
N(E_F) = 0.9927 states/eV/atom

Cell and atoms, written as CIF:
```
data_BaTcP
_cell_length_a 4.092
_cell_length_b 4.092
_cell_length_c 10.004
_cell_angle_alpha 90.00
_cell_angle_beta 90.00
_cell_angle_gamma 90.00
_symmetry_space_group_name_H-M 'P 1'
_symmetry_Int_Tables_number 1
loop_
_symmetry_equiv_pos_as_xyz
'x,y,z'
loop_
_atom_site_label
_atom_site_type_symbol
_atom_site_fract_x
_atom_site_fract_y
_atom_site_fract_z
Ba1 Ba 0.250 0.250 0.210
Ba2 Ba 0.750 0.750 0.790
Tc1 Tc 0.250 0.750 0.500
Tc2 Tc 0.750 0.250 0.500
P1 P 0.250 0.250 0.623
P2 P 0.750 0.750 0.377
```

***

Entry ii
BaTcP after structural relaxation. Source: Alexandria via LeMat-Bulk, functional PBE.

Computed properties:
N(E_F) = 1.2749 states/eV/atom

Cell and atoms, written as CIF:
```
data_BaTcP
_cell_length_a 4.905
_cell_length_b 4.905
_cell_length_c 4.905
_cell_angle_alpha 60.00
_cell_angle_beta 60.00
_cell_angle_gamma 60.00
_symmetry_space_group_name_H-M 'P 1'
_symmetry_Int_Tables_number 1
loop_
_symmetry_equiv_pos_as_xyz
'x,y,z'
loop_
_atom_site_label
_atom_site_type_symbol
_atom_site_fract_x
_atom_site_fract_y
_atom_site_fract_z
Ba1 Ba 0.000 0.000 0.000
Tc1 Tc 0.500 0.500 0.500
P1 P 0.250 0.250 0.250
```

***

Tell me which of them is the least stable. Sure, it is entry ii.

***

Entry i
BaTcP after structural relaxation. Source: Alexandria via LeMat-Bulk, functional PBE.

Computed properties:
N(E_F) = 1.6611 states/eV/atom

Cell and atoms, written as CIF:
```
data_BaTcP
_cell_length_a 5.156
_cell_length_b 5.156
_cell_length_c 5.156
_cell_angle_alpha 60.00
_cell_angle_beta 60.00
_cell_angle_gamma 60.00
_symmetry_space_group_name_H-M 'P 1'
_symmetry_Int_Tables_number 1
loop_
_symmetry_equiv_pos_as_xyz
'x,y,z'
loop_
_atom_site_label
_atom_site_type_symbol
_atom_site_fract_x
_atom_site_fract_y
_atom_site_fract_z
Ba1 Ba 0.000 0.000 0.000
Tc1 Tc 0.750 0.750 0.750
P1 P 0.250 0.250 0.250
```

***

Entry ii
BaTcP after structural relaxation. Source: Alexandria via LeMat-Bulk, functional PBE.

Computed properties:
N(E_F) = 0.2699 states/eV/atom

Cell and atoms, written as CIF:
```
data_BaTcP
_cell_length_a 4.050
_cell_length_b 4.050
_cell_length_c 5.186
_cell_angle_alpha 90.00
_cell_angle_beta 90.00
_cell_angle_gamma 120.00
_symmetry_space_group_name_H-M 'P 1'
_symmetry_Int_Tables_number 1
loop_
_symmetry_equiv_pos_as_xyz
'x,y,z'
loop_
_atom_site_label
_atom_site_type_symbol
_atom_site_fract_x
_atom_site_fract_y
_atom_site_fract_z
Ba1 Ba 0.000 0.000 0.000
Tc1 Tc 0.333 0.667 0.500
P1 P 0.667 0.333 0.500
```

***

Tell me which of them is the least stable. Sure, it is entry i.